# 1
DFT (PBE) results for SrInCl2 after structural relaxation.

abc: 6.9223 6.9223 6.9223
angles: 143.48 143.48 52.60
Closest atoms and distances in Å follow each position.
Element x y z (fractional)
In: 0.5000 0.5000 0.0000  4 Cl 3.07
Cl: 0.2500 0.7500 0.5000  4 Sr 3.07
Sr: 0.7500 0.2500 0.5000  4 Cl 3.07
Cl: 0.0000 0.0000 0.0000  4 In 3.07

Calculated values
Formation energy from raw total energies in eV per atom: -1.26
Magnetization in μB per formula unit: 0.9
Relative energy among the computed polymorphs in meV per atom: 271.8

# 2
DFT (PBE) results for Sr2InCl after structural relaxation.

abc: 6.2867 6.2867 6.2867
angles: 139.24 112.63 81.82
Closest atoms and distances in Å follow each position.
Element x y z (fractional)
Sr: 0.5378 0.5378 0.0000  2 Cl 2.98
Cl: 0.7500 0.2500 0.5000  4 Sr 2.98
Sr: 0.9622 0.9622 0.0000  2 Cl 2.98
In: 0.2500 0.7500 0.5000  4 Sr 3.50

Calculated values
Formation energy from raw total energies in eV per atom: -0.87
Magnetization in μB per formula unit: 0.5
Relative energy among the computed polymorphs in meV per atom: 238.0